Material: Rb3Ag4Br8
Method: DFT, GGA-PBE
State: relaxed

The space group is C2/m (No. 12) and the conventional cell measures 12.5499, 12.6737 and 8.8666 Å, with angles of 90.00, 132.51 and 90.00 degrees. The distinct sites, in fractional coordinates, are Rb at (0.0000, 0.0000, 0.0000), Rb at (0.2500, 0.2500, 0.5000), Ag at (0.0000, 0.5000, 0.0000), Ag at (0.0000, 0.5000, 0.5000), Ag at (0.2500, 0.2500, 0.0000), Br at (0.0000, 0.2658, 0.0000), Br at (0.0000, 0.2883, 0.5000), Br at (0.1962, 0.5000, 0.4710) and Br at (0.2312, 0.5000, 0.0146).

Its total magnetization is 0.97 μB per formula unit. As for the calculated density: 4.2 g cm⁻³. As for the uncorrected formation energy: -11.57 eV per formula unit. The calculation puts the uncorrected energy at -2.6175 eV/atom. As for the density of states at the Fermi level: 0.43 states/eV per atom. The crystal system is monoclinic.

Material: RbAg2Br6
Method: DFT, GGA-PBE
State: relaxed

The space group is C2/m (No. 12) and the conventional cell measures 18.1615, 5.5410 and 12.7838 Å, with angles of 90.00, 133.61 and 90.00 degrees. The distinct sites, in fractional coordinates, are Rb at (0.0000, 0.0000, 0.0000), Ag at (0.1403, 0.5000, 0.3750), Br at (0.0163, 0.5000, 0.6085), Br at (0.0415, 0.5000, 0.8785) and Br at (0.1667, 0.0000, 0.3889).

Its total magnetization is 0.00 μB per formula unit. As for the calculated density: 2.8 g cm⁻³. As for the uncorrected formation energy: -4.70 eV per formula unit. The calculation puts the uncorrected energy at -2.3786 eV/atom. As for the density of states at the Fermi level: 0.31 states/eV per atom. For the distance to the lowest polymorph of the same formula, the calculation gives 0.000 eV/atom. The crystal system is monoclinic.

Material: RbAgBr2
Method: DFT, GGA-PBE
State: relaxed

The space group is I-42d (No. 122) and the conventional cell measures 8.1178, 8.1178 and 8.6415 Å, with angles of 90.00, 90.00 and 90.00 degrees. The distinct sites, in fractional coordinates, are Rb at (0.0000, 0.0000, 0.0000), Ag at (0.0000, 0.0000, 0.5000) and Br at (0.1815, 0.2500, 0.6250).

Its total magnetization is 0.00 μB per formula unit. As for the calculated density: 4.1 g cm⁻³. As for the uncorrected formation energy: -4.09 eV per formula unit. The calculation puts the uncorrected energy at -2.8136 eV/atom. As for the density of states at the Fermi level: 0.00 states/eV per atom. The crystal system is tetragonal.